<a>
VASP calculation (GGA-PBE) on an optimized crystal structure of YLu2O.

Geometry as POSCAR:
```
YLu2O
1.0
-1.944 1.520 2.320
-3.359 0.122 -0.422
-2.618 -7.368 5.106
Lu O Y
2 1 1
Direct
0.119 0.119 0.642 Lu
0.881 0.881 0.358 Lu
0.500 0.500 0.500 O
0.000 0.000 0.000 Y
```

***

<b>
VASP calculation (GGA-PBE) on an optimized crystal structure of YLu2O.

Geometry as POSCAR:
```
YLu2O
1.0
3.156 0.000 0.000
0.000 3.156 0.000
0.000 0.000 8.506
O Y Lu
1 1 2
Direct
0.500 0.500 0.000 O
0.500 0.500 0.500 Y
0.000 0.000 0.820 Lu
0.000 0.000 0.180 Lu
```

***

The energy of each structure relative to the most stable one, in kJ/mol of atoms, is as follows: <a> 0.0; <b> 36.0.